AlSbIr2C after structural relaxation. Source: Alexandria, functional GGA-PBEsol.

Geometry as POSCAR:
```
AlSbIr2C
1.0
4.8140 0.0000 0.0000
0.0000 4.8140 0.0000
0.0000 0.0000 5.0798
Sb C Ir Al
1 1 2 1
Direct
0.0000 0.0000 0.0000
0.5000 0.5000 0.5000
0.0000 0.5000 0.0000
0.5000 0.0000 0.0000
0.0000 0.0000 0.5000
```

## Properties
DOS(E_F)	0.90	states/eV/atom
E_form (uncorrected)	1394	kJ/mol of formula units
space-group type	No. 123
total magnetization	1.559	μB/f.u.